Material: ErMn2Tl3Te6
Method: DFT, PBE
State: optimized geometry

The space group is C2/m (No. 12) and the conventional cell measures 7.351, 12.621 and 8.356 Å, with angles of 90.00, 106.78 and 90.00 degrees. The inequivalent atoms are Er at (0.000, 0.000, 0.000), Mn at (0.000, 0.331, 0.000), Tl at (0.000, 0.155, 0.500), Tl at (0.000, 0.500, 0.500), Te at (0.205, 0.500, 0.192) and Te at (0.244, 0.179, 0.202).

For the spin magnetization, the calculation gives 0.682 μB per atom. The calculation puts the uncorrected formation energy at -462.5 meV per atom. As for the density: 7.41 Mg/m³.